No. 1
# GaFeNi

A relaxed structure of GaFeNi (PBE, Alexandria via LeMat-Bulk).

abc: 3.9776 3.9945 6.2815
angles: 90.08 71.43 59.90
Each line ends with the local moment (μB).
Atoms (fractional coordinates):
Fe  0.8788  0.8314  0.2202  2.30
Ni  0.7352  0.4031  0.9337  0.16
Ga  0.0099  0.2660  0.5258  -0.06
Ni  0.5958  0.9730  0.6479  0.16
Ga  0.3212  0.1101  0.0558  -0.06
Fe  0.4524  0.5447  0.3613  2.30

Properties
Density of states at the Fermi level ... 2.86 states/eV/cell
Total DFT energy (no corrections) ... -5.785 eV/atom
Total magnetization ... 4.75 μB per cell
Symmetry ... C2/m, No. 12


No. 2
# Tb4Cd3Hg5

A relaxed structure of Tb4Cd3Hg5 (PBE, Alexandria via LeMat-Bulk).

abc: 5.4433 6.6078 12.9675
angles: 115.85 77.88 65.68
Atoms (fractional coordinates):
Tb  0.3335  0.3207  0.0123
Hg  0.0214  0.0713  0.8859
Cd  0.0000  0.5000  0.5000
Hg  0.7515  0.7294  0.7675
Tb  0.5751  0.5817  0.2682
Tb  0.6665  0.6793  0.9877
Cd  0.1682  0.0842  0.5794
Hg  0.5000  0.5000  0.5000
Tb  0.4249  0.4183  0.7318
Hg  0.2485  0.2706  0.2325
Hg  0.9786  0.9287  0.1141
Cd  0.8318  0.9158  0.4206

Properties
Density of states at the Fermi level ... 7.50 states/eV/cell
Total DFT energy (no corrections) ... -2.012 eV/atom
Total magnetization ... 0.00 μB per cell
Symmetry ... C2/m, No. 12


No. 3
# Nd12Y3Th

A relaxed structure of Nd12Y3Th (PBE, Alexandria via LeMat-Bulk).

abc: 5.1715 5.1715 20.6476
angles: 90.00 90.00 90.00
Atoms (fractional coordinates):
Y  0.0000  0.0000  0.5000
Nd  0.5000  0.5000  0.0000
Nd  0.5000  0.0000  0.1229
Nd  0.5000  0.0000  0.6253
Nd  0.0000  0.5000  0.1229
Th  0.0000  0.0000  0.0000
Y  0.0000  0.0000  0.2501
Nd  0.5000  0.0000  0.8771
Nd  0.5000  0.5000  0.7481
Nd  0.5000  0.5000  0.2519
Nd  0.0000  0.5000  0.3747
Nd  0.0000  0.5000  0.6253
Nd  0.5000  0.5000  0.5000
Nd  0.5000  0.0000  0.3747
Y  0.0000  0.0000  0.7499
Nd  0.0000  0.5000  0.8771

Properties
Density of states at the Fermi level ... 24.21 states/eV/cell
Total DFT energy (no corrections) ... -5.227 eV/atom
Total magnetization ... 0.00 μB per cell
Symmetry ... P4/mmm, No. 123


No. 4
# Sm4Ho3Se8

A relaxed structure of Sm4Ho3Se8 (PBE, Alexandria via LeMat-Bulk).

abc: 8.2188 8.2132 8.2132
angles: 89.96 120.06 120.06
Atoms (fractional coordinates):
Se  0.5000  0.2534  0.7466
Se  0.0000  0.7442  0.2558
Sm  0.0000  0.5000  0.0000
Se  0.9931  0.7410  0.7410
Ho  0.5000  0.0000  0.5000
Se  0.5120  0.2594  0.2594
Sm  0.0000  0.0000  0.5000
Se  0.0069  0.2590  0.2590
Ho  0.5000  0.5000  0.5000
Sm  0.0000  0.0000  0.0000
Se  0.0000  0.2558  0.7442
Se  0.4880  0.7406  0.7406
Ho  0.5000  0.5000  0.0000
Se  0.5000  0.7466  0.2534
Sm  0.5000  0.0000  0.0000

Properties
Density of states at the Fermi level ... 6.28 states/eV/cell
Formation energy from raw total energies ... -1.8358 eV per atom
Total magnetization ... 0.00 μB per cell
Symmetry ... C2/m, No. 12


No. 5
# NbAgI2

A relaxed structure of NbAgI2 (PBE, Alexandria via LeMat-Bulk).

abc: 6.8939 6.8939 7.8759
angles: 64.05 64.05 90.00
Each line ends with the local moment (μB).
Atoms (fractional coordinates):
Nb  0.2500  0.7500  0.5000  2.73
I  0.1276  0.6250  0.2500  0.01
I  0.6224  0.1250  0.2500  0.00
I  0.3750  0.3776  0.7500  0.00
Nb  0.5000  0.5000  0.0000  2.74
Ag  0.0000  0.0000  0.0000  0.07
Ag  0.7500  0.2500  0.5000  0.07
I  0.8750  0.8724  0.7500  0.00

Properties
Density of states at the Fermi level ... 3.82 states/eV/cell
Formation energy from raw total energies ... 0.5330 eV per atom
Total magnetization ... 7.88 μB per cell
Symmetry ... I-42d, No. 122


No. 6
# Zr3Zn4Au

A relaxed structure of Zr3Zn4Au (PBE, Alexandria via LeMat-Bulk).

abc: 3.0416 9.4412 7.2602
angles: 130.56 102.09 90.00
Atoms (fractional coordinates):
Zr  0.2410  0.2410  0.4820
Zn  0.6255  0.8775  0.2511
Zn  0.3745  0.6265  0.7489
Zr  0.7590  0.7590  0.5180
Zr  0.0000  0.5000  0.0000
Zn  0.3745  0.1225  0.7489
Zn  0.6255  0.3735  0.2511
Au  0.5000  0.0000  0.0000

Properties
Density of states at the Fermi level ... 6.77 states/eV/cell
Total DFT energy (no corrections) ... -4.376 eV/atom
Total magnetization ... 0.00 μB per cell
Symmetry ... Immm, No. 71


No. 7
# Pm2MgBr8

A relaxed structure of Pm2MgBr8 (PBE, Alexandria via LeMat-Bulk).

abc: 6.9908 8.8319 8.8319
angles: 79.95 85.19 85.19
Each line ends with the local moment (μB).
Atoms (fractional coordinates):
Br  0.2292  0.8217  0.8217  0.01
Pm  0.6301  0.8107  0.8107  0.00
Br  0.2139  0.9041  0.2476  0.00
Br  0.7708  0.1783  0.1783  0.01
Br  0.7861  0.7524  0.0959  0.00
Br  0.2139  0.2476  0.9041  0.00
Pm  0.3699  0.1893  0.1893  0.00
Br  0.7660  0.6194  0.6194  0.06
Mg  0.0000  0.0000  0.0000  0.00
Br  0.2340  0.3806  0.3806  0.06
Br  0.7861  0.0959  0.7524  0.00

Properties
Density of states at the Fermi level ... 0.00 states/eV/cell
Formation energy from raw total energies ... -1.5907 eV per atom
Total magnetization ... 0.19 μB per cell
Symmetry ... C2/m, No. 12


No. 8
# NbTcN

A relaxed structure of NbTcN (PBE, Alexandria via LeMat-Bulk).

abc: 2.9091 2.9096 10.2879
angles: 90.00 90.00 119.99
Atoms (fractional coordinates):
Tc  0.6108  0.2217  0.6331
Tc  0.6108  0.2217  0.3669
Nb  0.2781  0.5561  0.8583
N  0.6114  0.2227  0.0000
N  0.2774  0.5549  0.5000
Nb  0.2781  0.5561  0.1417

Properties
Density of states at the Fermi level ... 5.77 states/eV/cell
Formation energy from raw total energies ... -0.3499 eV per atom
Total magnetization ... 0.00 μB per cell
Symmetry ... P-6m2, No. 187


No. 9
# CeEuPdPb

A relaxed structure of CeEuPdPb (PBE, Alexandria via LeMat-Bulk).

abc: 5.3749 5.3749 5.3749
angles: 60.00 60.00 60.00
Each line ends with the local moment (μB).
Atoms (fractional coordinates):
Pd  0.0000  0.0000  0.0000  -0.06
Eu  0.7500  0.7500  0.7500  6.79
Pb  0.5000  0.5000  0.5000  -0.04
Ce  0.2500  0.2500  0.2500  0.69

Properties
Density of states at the Fermi level ... 15.52 states/eV/cell
Total DFT energy (no corrections) ... -6.748 eV/atom
Total magnetization ... 7.61 μB per cell
Symmetry ... F-43m, No. 216


No. 10
# Ac7GaSn3

A relaxed structure of Ac7GaSn3 (PBE, Alexandria via LeMat-Bulk).

abc: 6.2843 8.7170 8.7170
angles: 92.77 111.10 111.10
Atoms (fractional coordinates):
Ac  0.6659  0.4000  0.9315
Ac  0.8236  0.8237  0.8237
Ac  0.3341  0.6000  0.0685
Ac  0.1764  0.1763  0.1763
Sn  0.5000  0.0000  0.0000
Ac  0.0000  0.5000  0.5000
Sn  0.0000  0.2339  0.7661
Ga  0.5000  0.5000  0.5000
Sn  0.0000  0.7661  0.2339
Ac  0.3341  0.0685  0.6000
Ac  0.6659  0.9315  0.4000

Properties
Density of states at the Fermi level ... 9.81 states/eV/cell
Total DFT energy (no corrections) ... -4.345 eV/atom
Total magnetization ... 0.00 μB per cell
Symmetry ... Immm, No. 71


No. 11
# Tm4PuS5

A relaxed structure of Tm4PuS5 (PBE, Alexandria via LeMat-Bulk).

abc: 3.8752 5.4555 10.1959
angles: 105.52 100.96 90.00
Each line ends with the local moment (μB).
Atoms (fractional coordinates):
S  0.3973  0.8973  0.7946  -0.04
Pu  0.0000  0.0000  0.0000  5.31
Tm  0.4012  0.4012  0.8024  0.06
Tm  0.8011  0.8011  0.6021  -0.03
S  0.6027  0.1027  0.2054  -0.04
Tm  0.1989  0.1989  0.3979  -0.03
S  0.0000  0.5000  0.0000  -0.04
S  0.2001  0.7001  0.4001  0.01
Tm  0.5988  0.5988  0.1976  0.06
S  0.7999  0.2999  0.5999  0.01

Properties
Density of states at the Fermi level ... 8.40 states/eV/cell
Formation energy from raw total energies ... -1.9178 eV per atom
Total magnetization ... 5.66 μB per cell
Symmetry ... Immm, No. 71


No. 12
# Hf2ThO

A relaxed structure of Hf2ThO (PBE, Alexandria via LeMat-Bulk).

abc: 3.3133 3.3133 8.8632
angles: 79.23 79.23 60.00
Atoms (fractional coordinates):
O  0.5000  0.5000  0.5000
Hf  0.8794  0.8794  0.3617
Hf  0.1206  0.1206  0.6383
Th  0.0000  0.0000  0.0000

Properties
Density of states at the Fermi level ... 3.40 states/eV/cell
Formation energy from raw total energies ... -0.8266 eV per atom
Total magnetization ... 0.00 μB per cell
Symmetry ... R-3m, No. 166